# 1
Here is a relaxed TbPtAu2 crystal from the Alexandria database. Energies are from GGA-PBE.

Structure (POSCAR):
```
TbPtAu2
1.0
0.0000 3.4076 3.4076
3.4076 0.0000 3.4076
3.4076 3.4076 0.0000
Tb Pt Au
1 1 2
direct
0.0000 0.0000 0.0000
0.5000 0.5000 0.5000
0.2500 0.2500 0.2500
0.7500 0.7500 0.7500
```

Summary:
Energy of formation   -670 meV/atom
E   -19.907 eV per cell
Total magnetization   0.000 μB/atom
D(E_F)   1.37 states/eV per cell
Space-group type   Fm-3m (225)


# 2
Here is a relaxed TbPt2Au8 crystal from the Alexandria database. Energies are from GGA-PBE.

Structure (POSCAR):
```
TbPt2Au8
1.0
4.2890 -5.8446 0.0000
4.2890 5.8446 0.0000
0.0000 0.0000 4.2550
Tb Pt Au
1 2 8
direct
0.0000 0.0000 0.0000
0.3857 0.6143 0.5000
0.6143 0.3857 0.5000
0.0373 0.3091 0.5000
0.2471 0.7529 0.0000
0.3091 0.0373 0.5000
0.3331 0.3331 0.0000
0.6669 0.6669 0.0000
0.6909 0.9627 0.5000
0.7529 0.2471 0.0000
0.9627 0.6909 0.5000
```

Summary:
Energy of formation   -195 meV/atom
E   -45.078 eV per cell
Total magnetization   0.000 μB/atom
D(E_F)   4.13 states/eV per cell
Space-group type   Cmmm (65)


# 3
Here is a relaxed Tb4PtAu crystal from the Alexandria database. Energies are from GGA-PBE.

Structure (POSCAR):
```
Tb4PtAu
1.0
7.1240 0.0000 0.0000
0.0000 4.9106 0.0000
0.0000 0.0000 18.0406
Tb Pt Au
16 4 4
direct
0.0225 0.2500 0.2224
0.0478 0.2500 0.9286
0.1136 0.2500 0.6496
0.1272 0.2500 0.4432
0.3728 0.7500 0.9432
0.3864 0.7500 0.1496
0.4522 0.7500 0.4286
0.4775 0.7500 0.7224
0.5225 0.2500 0.2776
0.5478 0.2500 0.5714
0.6136 0.2500 0.8504
0.6272 0.2500 0.0568
0.8728 0.7500 0.5568
0.8864 0.7500 0.3504
0.9522 0.7500 0.0714
0.9775 0.7500 0.7776
0.2487 0.2500 0.7949
0.2513 0.7500 0.2949
0.7487 0.2500 0.7051
0.7513 0.7500 0.2051
0.2156 0.2500 0.0746
0.2844 0.7500 0.5746
0.7156 0.2500 0.4254
0.7844 0.7500 0.9254
```

Summary:
Energy above the lowest structure with this stoichiometry   0.000 eV/atom
Energy of formation   -718 meV/atom
E   -128.596 eV per cell
Total magnetization   0.000 μB/atom
D(E_F)   22.04 states/eV per cell
Space-group type   Pnma (62)


# 4
Here is a relaxed Tb3Pt3Au2 crystal from the Alexandria database. Energies are from GGA-PBE.

Structure (POSCAR):
```
Tb3Pt3Au2
1.0
8.5406 0.0000 0.0000
-4.2703 7.3964 0.0000
0.0000 0.0000 5.7231
Tb Pt Au
6 6 4
direct
0.0000 0.3106 0.2500
0.0000 0.6894 0.7500
0.3106 0.0000 0.2500
0.3106 0.3106 0.7500
0.6894 0.0000 0.7500
0.6894 0.6894 0.2500
0.0000 0.3537 0.7500
0.0000 0.6463 0.2500
0.3537 0.0000 0.7500
0.3537 0.3537 0.2500
0.6463 0.0000 0.2500
0.6463 0.6463 0.7500
0.3333 0.6667 0.0000
0.3333 0.6667 0.5000
0.6667 0.3333 0.0000
0.6667 0.3333 0.5000
```

Summary:
Energy of formation   -944 meV/atom
E   -92.233 eV per cell
Total magnetization   0.000 μB/atom
D(E_F)   7.13 states/eV per cell
Space-group type   P6_3/mcm (193)


# 5
Here is a relaxed Tb2Pt2Au crystal from the Alexandria database. Energies are from GGA-PBE.

Structure (POSCAR):
```
Tb2Pt2Au
1.0
7.6207 0.0000 0.0000
0.0000 7.6207 0.0000
0.0000 0.0000 3.7415
Tb Pt Au
4 4 2
direct
0.1699 0.3301 0.0000
0.3301 0.8301 0.0000
0.6699 0.1699 0.0000
0.8301 0.6699 0.0000
0.1315 0.6315 0.5000
0.3685 0.1315 0.5000
0.6315 0.8685 0.5000
0.8685 0.3685 0.5000
0.0000 0.0000 0.5000
0.5000 0.5000 0.5000
```

Summary:
Energy of formation   -1105 meV/atom
E   -60.287 eV per cell
Total magnetization   0.000 μB/atom
D(E_F)   5.34 states/eV per cell
Space-group type   P4/mbm (127)


# 6
Here is a relaxed Tb3Pt8Au crystal from the Alexandria database. Energies are from GGA-PBE.

Structure (POSCAR):
```
Tb3Pt8Au
1.0
2.7070 1.5629 8.8502
-2.7070 1.5629 8.8502
0.0000 -3.1258 8.8502
Tb Pt Au
3 8 1
direct
0.0000 0.0000 0.0000
0.1305 0.1305 0.1305
0.5199 0.5199 0.5199
0.0711 0.0711 0.5658
0.0711 0.5658 0.0711
0.0724 0.5713 0.5713
0.3204 0.3204 0.3204
0.5658 0.0711 0.0711
0.5713 0.0724 0.5713
0.5713 0.5713 0.0724
0.8204 0.8204 0.8204
0.6381 0.6381 0.6381
```

Summary:
Energy of formation   -968 meV/atom
E   -77.114 eV per cell
Total magnetization   0.000 μB/atom
D(E_F)   7.21 states/eV per cell
Space-group type   R3m (160)